1.
Density functional theory data (GGA-PBE) for a relaxed structure of Hf3MnTc.

Computed properties:
formation energy from the elements: 642.7 meV/atom
relative energy among the computed polymorphs: 0.00 eV per formula unit

CIF file:
```
data_Hf3MnTc
_chemical_formula_sum 'Hf3 Mn1 Tc1'
_symmetry_space_group_name_H-M 'P m -3 m'
_symmetry_Int_Tables_number 221
_symmetry_space_group_name_Hall '-P 4 2 3'
_cell_length_a 4.6743
_cell_length_b 4.6743
_cell_length_c 4.6743
_cell_angle_alpha 90.00
_cell_angle_beta 90.00
_cell_angle_gamma 90.00
loop_
_atom_site_label
_atom_site_fract_x
_atom_site_fract_y
_atom_site_fract_z
_atom_site_occupancy
Hf1 0.0000 0.0000 0.5000 1
Mn1 0.0000 0.0000 0.0000 1
Tc1 0.5000 0.5000 0.5000 1
```



2.
Density functional theory data (GGA-PBE) for a relaxed structure of HfMn2Tc2.

Computed properties:
formation energy from the elements: 60.0 meV/atom
relative energy among the computed polymorphs: 0.00 eV per formula unit

CIF file:
```
data_HfMn2Tc2
_chemical_formula_sum 'Hf2 Mn4 Tc4'
_symmetry_space_group_name_H-M 'P 4/m b m'
_symmetry_Int_Tables_number 127
_symmetry_space_group_name_Hall '-P 4 2ab'
_cell_length_a 7.1942
_cell_length_b 7.1942
_cell_length_c 2.7942
_cell_angle_alpha 90.00
_cell_angle_beta 90.00
_cell_angle_gamma 90.00
loop_
_atom_site_label
_atom_site_fract_x
_atom_site_fract_y
_atom_site_fract_z
_atom_site_occupancy
Hf1 0.0000 0.0000 0.0000 1
Mn1 0.1291 0.3709 0.0000 1
Tc1 0.1650 0.6650 0.5000 1
```



Q: Number 2 is which compound?
A: HfMn2Tc2



Q: What is the formation energy from the elements in the second record?
A: 60.0 meV/atom



Q: Which value of relative energy among the computed polymorphs does entry 1 give?
A: 0.00 eV per formula unit